Entry from Alexandria: a relaxed structure of AgH3F6 (GGA-PBE).

Lattice parameters (Å, degrees): 5.7765 5.7765 5.7765 112.57 112.57 112.57
Closest atoms and distances in Å follow each position.
Fractional positions:
Ag  0.0000  0.0000  0.0000  6 F 2.11
H  0.0000  0.5000  0.5000  2 F 1.13
H  0.5000  0.0000  0.5000  2 F 1.13
H  0.5000  0.5000  0.0000  2 F 1.13
F  0.0519  0.3589  0.3589  1 H 1.13
F  0.3589  0.0519  0.3589  1 H 1.13
F  0.3589  0.3589  0.0519  1 H 1.13
F  0.6411  0.6411  0.9481  1 H 1.13
F  0.6411  0.9481  0.6411  1 H 1.13
F  0.9481  0.6411  0.6411  1 H 1.13

## Properties
energy above the lowest structure with this stoichiometry = 0.107 eV per atom
DOS(E_F) = 0.393 states/eV per atom
symmetry = R-3m (166)
electronic total energy = -36.4 eV for the cell shown